Compound: B3HCl
Source: the Alexandria database
Functional: PBE-GGA
Structure: relaxed

Summary:
Excess energy over the best structure of this formula in the dataset ... 0.000 eV/atom
Symmetry ... Pm-3m
N(E_F) ... 1.68 states/eV per cell

a = 3.617 Å, b = 3.617 Å, c = 3.617 Å
α = 90.00°, β = 90.00°, γ = 90.00°
Sites, in units of the cell vectors:
B (0.500, 0.000, 0.000)
B (0.000, 0.500, 0.000)
B (0.000, 0.000, 0.500)
Cl (0.500, 0.500, 0.500)
H (0.000, 0.000, 0.000)

***

Compound: Ba3PuO5
Source: the Alexandria database
Functional: PBE-GGA
Structure: relaxed

Summary:
Uncorrected formation energy ... -2.556 eV/atom
Symmetry ... I4/mcm

a = 7.526 Å, b = 7.526 Å, c = 8.364 Å
α = 116.74°, β = 116.74°, γ = 90.00°
Last column: magnetic moment on the atom in μB.
Sites, in units of the cell vectors:
O (0.000, 0.000, 0.000)  -0.04
O (0.500, 0.500, 0.000)  -0.04
O (0.300, 0.800, 0.298)  -0.08
O (0.998, 0.498, 0.298)  -0.08
O (0.700, 0.200, 0.702)  -0.08
O (0.498, 0.300, 0.298)  -0.08
O (0.002, 0.502, 0.702)  -0.08
O (0.200, 0.002, 0.702)  -0.08
O (0.800, 0.998, 0.298)  -0.08
O (0.502, 0.700, 0.702)  -0.08
Ba (0.250, 0.250, 0.500)  0.03
Ba (0.750, 0.750, 0.500)  0.03
Ba (0.818, 0.682, 0.000)  0.01
Ba (0.182, 0.318, 0.000)  0.01
Ba (0.682, 0.182, 0.000)  0.01
Ba (0.318, 0.818, 0.000)  0.01
Pu (0.750, 0.250, 0.500)  4.02
Pu (0.250, 0.750, 0.500)  4.02

***

Compound: Sr5InGa4
Source: the Alexandria database
Functional: PBE-GGA
Structure: relaxed

Summary:
Symmetry ... P4/mmm
N(E_F) ... 7.12 states/eV per cell
Formation energy ... -3.71 eV/f.u.

a = 3.936 Å, b = 3.936 Å, c = 19.709 Å
α = 90.00°, β = 90.00°, γ = 90.00°
Sites, in units of the cell vectors:
Sr (0.500, 0.500, 0.696)
Sr (0.500, 0.500, 0.109)
Sr (0.500, 0.500, 0.891)
Sr (0.500, 0.500, 0.500)
Sr (0.500, 0.500, 0.304)
Ga (0.000, 0.000, 0.598)
Ga (0.000, 0.000, 0.402)
Ga (0.000, 0.000, 0.206)
Ga (0.000, 0.000, 0.794)
In (0.000, 0.000, 0.000)

***

Compound: Tb2Y3Mg3
Source: the Alexandria database
Functional: PBE-GGA
Structure: relaxed

Summary:
Symmetry ... Immm
N(E_F) ... 9.77 states/eV per cell
Formation energy ... -0.63 eV/f.u.

a = 3.772 Å, b = 5.429 Å, c = 11.703 Å
α = 103.41°, β = 99.27°, γ = 90.00°
Sites, in units of the cell vectors:
Y (0.375, 0.375, 0.751)
Y (0.500, 0.000, 0.000)
Y (0.625, 0.625, 0.249)
Tb (0.735, 0.235, 0.469)
Tb (0.265, 0.765, 0.531)
Mg (0.116, 0.116, 0.232)
Mg (0.884, 0.884, 0.768)
Mg (0.000, 0.500, 0.000)

***

Compound: ErTmZn2
Source: the Alexandria database
Functional: PBE-GGA
Structure: relaxed

Summary:
Excess energy over the best structure of this formula in the dataset ... 0.000 eV/atom
Symmetry ... Fm-3m
N(E_F) ... 2.98 states/eV per cell
Formation energy ... -1.42 eV/f.u.

a = 4.991 Å, b = 4.991 Å, c = 4.991 Å
α = 60.00°, β = 60.00°, γ = 60.00°
Sites, in units of the cell vectors:
Zn (0.250, 0.250, 0.250)
Zn (0.750, 0.750, 0.750)
Tm (0.000, 0.000, 0.000)
Er (0.500, 0.500, 0.500)

***

Compound: RuPtSe2
Source: the Alexandria database
Functional: PBE-GGA
Structure: relaxed

Summary:
Uncorrected formation energy ... 0.290 eV/atom
Excess energy over the best structure of this formula in the dataset ... 0.368 eV/atom
Symmetry ... P4/mmm
N(E_F) ... 3.72 states/eV per cell

a = 7.730 Å, b = 5.812 Å, c = 2.793 Å
α = 61.34°, β = 111.09°, γ = 138.72°
Last column: magnetic moment on the atom in μB.
Sites, in units of the cell vectors:
Se (0.000, 0.000, 0.000)  0.00
Se (0.500, 0.000, 0.500)  0.00
Pt (0.000, 0.500, 0.500)  0.00
Ru (0.500, 0.500, 0.000)  -0.36